(1)
Below is crystalline Pr2NdY3Ho6 at its relaxed geometry, with properties calculated at the PBE-GGA level.

Results
* mass density: 7.2 g/cm3
* volume: 390 Å³/f.u.
* formation enthalpy at 0 K: 0.021 eV/atom

Cell lengths 6.2134, 10.7551, 11.8394 Å; angles 90.00, 100.04, 90.00 degrees
Last column: nearest neighbours and their distance in Å.
Space group C2/m (No. 12)
Asymmetric unit:
Pr1 0.0000 0.1666 0.0000 [4 per cell]  3 Pr 3.58-3.59, 3 Nd 3.59, 6 Ho 3.60-3.61
Nd1 0.0000 0.5000 0.0000 [2 per cell]  6 Pr 3.59, 6 Ho 3.60-3.61
Y1 0.0000 0.0000 0.5000 [2 per cell]  6 Ho 3.54-3.55, 6 Y 3.59
Y2 0.0000 0.3334 0.5000 [4 per cell]  6 Ho 3.54-3.55, 6 Y 3.58-3.59
Ho1 0.2482 0.5000 0.7468 [4 per cell]  3 Y 3.54-3.55, 6 Ho 3.58-3.59, 1 Nd 3.60, 2 Pr 3.61
Ho2 0.2485 0.1666 0.7469 [8 per cell]  3 Y 3.54-3.55, 6 Ho 3.58-3.59, 2 Pr 3.60-3.61, 1 Nd 3.61

(2)
Below is crystalline Pr3ErTm3 at its relaxed geometry, with properties calculated at the PBE-GGA level.

Results
* mass density: 7.6 g/cm3
* volume: 241 Å³/f.u.
* formation enthalpy at 0 K: 0.182 eV/atom

Cell lengths 6.2079, 6.2079, 43.2959 Å; angles 90.00, 90.00, 120.00 degrees
Last column: nearest neighbours and their distance in Å.
Space group R-3 (No. 148, hexagonal axes)
Asymmetric unit:
Pr1 0.0003 0.3308 0.1298 [18 per cell]  3 Tm 3.53-3.55, 9 Pr 3.56-3.81
Er1 0.0000 0.0000 0.3333 [6 per cell]  6 Tm 3.44-3.45, 3 Er 3.58
Tm1 0.9998 0.3333 0.2698 [18 per cell]  2 Er 3.44-3.45, 3 Pr 3.53-3.55, 6 Tm 3.58-3.59

(3)
Below is crystalline Li3Cd2Ag2Hg4 at its relaxed geometry, with properties calculated at the PBE-GGA level.

Results
* mass density: 9.3 g/cm3
* volume: 227 Å³/f.u.
* formation enthalpy at 0 K: -0.138 eV/atom

Cell lengths 4.7680, 4.7680, 11.5154 Å; angles 90.00, 90.00, 120.00 degrees
Last column: nearest neighbours and their distance in Å.
Space group P-3m1 (No. 164)
Asymmetric unit:
Li1 0.0000 0.0000 0.0000 [1 per cell]  6 Cd 2.86
Li2 0.0000 0.0000 0.3552 [2 per cell]  3 Hg 2.78, 3 Ag 2.92
Cd1 0.3333 0.6667 0.0670 [2 per cell]  3 Li 2.86, 5 Hg 2.90-3.08, 3 Cd 3.16
Ag1 0.3333 0.6667 0.5608 [2 per cell]  5 Hg 2.79-3.08, 3 Li 2.92, 3 Ag 3.09
Hg1 0.3333 0.6667 0.3187 [2 per cell]  3 Li 2.78, 4 Ag 2.79-3.08, 1 Cd 2.90
Hg2 0.3333 0.6667 0.8121 [2 per cell]  1 Ag 2.89, 4 Cd 2.93-3.08, 3 Hg 3.14

(4)
Below is crystalline SbPtWI2 at its relaxed geometry, with properties calculated at the PBE-GGA level.

Results
* mass density: 8.1 g/cm3
* energy: -3.833 eV/atom
* volume: 155 Å³/f.u.

Cell lengths 5.4294, 5.4294, 5.2592 Å; angles 90.00, 90.00, 90.00 degrees
Last column: nearest neighbours and their distance in Å.
Space group P4/mmm (No. 123)
Asymmetric unit:
Sb1 0.0000 0.0000 0.0000 [1 per cell]  2 Pt 2.63
Pt1 0.0000 0.0000 0.5000 [1 per cell]  2 Sb 2.63, 4 I 2.71
W1 0.5000 0.5000 0.0000 [1 per cell]  8 I 3.78, 4 Sb 3.84
I1 0.0000 0.5000 0.5000 [2 per cell]  2 Pt 2.71

(5)
Below is crystalline BiPt at its relaxed geometry, with properties calculated at the PBE-GGA level.

Results
* mass density: 11.1 g/cm3
* volume: 60 Å³/f.u.
* formation enthalpy at 0 K: 0.097 eV/atom

Cell lengths 6.2300, 6.2300, 6.2300 Å; angles 90.00, 90.00, 90.00 degrees
Last column: nearest neighbours and their distance in Å.
Space group F-43m (No. 216)
Asymmetric unit:
Bi1 0.0000 0.0000 0.0000 [4 per cell]  4 Pt 2.70
Pt1 0.2500 0.2500 0.2500 [4 per cell]  4 Bi 2.70

(6)
Below is crystalline DyTm4Sc3 at its relaxed geometry, with properties calculated at the PBE-GGA level.

Results
* mass density: 7.2 g/cm3
* volume: 224 Å³/f.u.
* formation enthalpy at 0 K: 0.051 eV/atom

Cell lengths 11.7744, 6.8317, 5.9068 Å; angles 90.00, 109.45, 90.00 degrees
Last column: nearest neighbours and their distance in Å.
Space group C2/m (No. 12)
Asymmetric unit:
Dy1 0.0000 0.0000 0.0000 [2 per cell]  6 Tm 3.40-3.44, 6 Sc 3.42
Tm1 0.2478 0.5000 0.4954 [4 per cell]  5 Sc 3.38-3.43, 6 Tm 3.40-3.43, 1 Dy 3.44
Tm2 0.2500 0.2500 0.0000 [4 per cell]  6 Tm 3.40-3.43, 2 Dy 3.40, 4 Sc 3.40-3.41
Sc1 0.0000 0.2527 0.5000 [4 per cell]  4 Sc 3.38-3.45, 6 Tm 3.38-3.43, 2 Dy 3.42
Sc2 0.0000 0.5000 0.0000 [2 per cell]  6 Tm 3.38-3.40, 4 Sc 3.40, 2 Dy 3.42

(7)
Below is crystalline Ac2AsF3 at its relaxed geometry, with properties calculated at the PBE-GGA level.

Results
* mass density: 7.8 g/cm3
* energy: -6.298 eV/atom
* volume: 125 Å³/f.u.

Cell lengths 16.0292, 4.2537, 8.2277 Å; angles 90.00, 116.65, 90.00 degrees
Last column: nearest neighbours and their distance in Å.
Space group C2/m (No. 12)
Asymmetric unit:
Ac1 0.0211 0.0000 0.2404 [4 per cell]  4 F 2.48-2.51
Ac2 0.2126 0.5000 0.7188 [4 per cell]  4 F 2.54-2.65
As1 0.1302 0.5000 0.0427 [4 per cell]  7 Ac 3.21-3.57
F1 0.0626 0.5000 0.4180 [4 per cell]  3 Ac 2.50-2.56, 2 F 2.79
F2 0.1045 0.0000 0.6616 [4 per cell]  3 Ac 2.48-2.65, 1 F 2.62
F3 0.1921 0.0000 0.4585 [4 per cell]  2 Ac 2.51-2.54, 3 F 2.62-2.70

(8)
Below is crystalline PtPbSeN2 at its relaxed geometry, with properties calculated at the PBE-GGA level.

Results
* mass density: 9.1 g/cm3
* energy: -4.898 eV/atom
* volume: 93 Å³/f.u.

Cell lengths 4.0458, 4.0458, 5.6611 Å; angles 90.00, 90.00, 90.00 degrees
Last column: nearest neighbours and their distance in Å.
Space group P4/mmm (No. 123)
Asymmetric unit:
Pt1 0.0000 0.0000 0.0000 [1 per cell]  4 N 2.02
Pb1 0.5000 0.5000 0.5000 [1 per cell]  4 Se 2.86
Se1 0.0000 0.0000 0.5000 [1 per cell]  2 Pt 2.83, 4 Pb 2.86
N1 0.0000 0.5000 0.0000 [2 per cell]  2 Pt 2.02

Question: The highest mass density belongs to which entry?
Answer: BiPt

Question: What is the formula in the third record?
Answer: Li3Cd2Ag2Hg4

Question: Look up the volume of the eighth one.
Answer: 93 Å³/f.u.